Computed, not measured: a relaxed structure of Gd3Ni19B10 at the PBE-GGA level of DFT.

```
data_Gd3Ni19B10
_chemical_formula_sum 'Gd6 Ni38 B20'
_cell_length_a 13.174
_cell_length_b 8.772
_cell_length_c 5.797
_cell_angle_alpha 90.00
_cell_angle_beta 91.32
_cell_angle_gamma 90.00
_space_group_name_H-M_alt 'C 1 2/m 1'
_space_group_IT_number 12
_space_group_name_Hall '-C 2y'
loop_
_atom_site_label
_atom_site_type_symbol
_atom_site_fract_x
_atom_site_fract_y
_atom_site_fract_z
Gd1 Gd 0.000 0.000 0.000
Gd2 Gd 0.125 0.500 0.389
Ni1 Ni 0.000 0.000 0.500
Ni2 Ni 0.029 0.258 0.699
Ni3 Ni 0.122 0.500 0.877
Ni4 Ni 0.128 0.250 0.074
Ni5 Ni 0.163 0.000 0.700
Ni6 Ni 0.183 0.000 0.270
Ni7 Ni 0.218 0.263 0.699
B1 B 0.000 0.382 0.000
B2 B 0.118 0.181 0.431
B3 B 0.245 0.102 0.974
```

total magnetic moment	14.354	μB/cell
ΔE_f	-0.415	eV/atom
N(E_F)	15.903	states/eV/f.u.